[1]
# CsMgSe2 SCAN PBEsol geometry
# * energy relative to the elements, uncorrected: -1100.0 meV/atom
data_CsMgSe2
_chemical_formula_sum 'Cs2 Mg2 Se4'
_cell_length_a 6.181
_cell_length_b 6.181
_cell_length_c 8.938
_cell_angle_alpha 110.23
_cell_angle_beta 110.23
_cell_angle_gamma 90.00
_symmetry_space_group_name_H-M 'P 1'
_symmetry_Int_Tables_number 1
loop_
_symmetry_equiv_pos_as_xyz
'x,y,z'
loop_
_atom_site_label
_atom_site_type_symbol
_atom_site_fract_x
_atom_site_fract_y
_atom_site_fract_z
Se1 Se 0.125 0.375 0.750
Cs1 Cs 0.000 0.000 0.000
Se2 Se 0.625 0.375 0.750
Se3 Se 0.625 0.375 0.250
Cs2 Cs 0.250 0.750 0.500
Mg1 Mg 0.500 0.500 0.000
Se4 Se 0.625 0.875 0.250
Mg2 Mg 0.750 0.250 0.500

[2]
# VOF2 SCAN PBEsol geometry
# * energy relative to the elements, uncorrected: -2948.6 meV/atom
data_VOF2
_chemical_formula_sum 'V6 O6 F12'
_cell_length_a 5.120
_cell_length_b 5.285
_cell_length_c 11.639
_cell_angle_alpha 101.96
_cell_angle_beta 102.71
_cell_angle_gamma 90.00
_symmetry_space_group_name_H-M 'P 1'
_symmetry_Int_Tables_number 1
loop_
_symmetry_equiv_pos_as_xyz
'x,y,z'
loop_
_atom_site_label
_atom_site_type_symbol
_atom_site_fract_x
_atom_site_fract_y
_atom_site_fract_z
F1 F 0.348 0.316 0.669
V1 V 0.300 0.378 0.830
V2 V 0.672 0.723 0.501
F2 F 0.679 0.684 0.331
O1 O 0.241 0.827 0.191
V3 V 0.973 0.124 0.163
F3 F 0.325 0.500 0.000
O2 O 0.771 0.355 0.141
F4 F 0.412 0.990 0.470
F5 F 0.581 0.153 0.873
F6 F 0.103 0.674 0.797
F7 F 0.662 0.842 0.669
O3 O 0.050 0.173 0.809
F8 F 0.019 0.000 0.000
O4 O 0.630 0.645 0.859
V4 V 0.470 0.622 0.170
V5 V 0.811 0.876 0.837
F9 F 0.708 0.847 0.127
F10 F 0.942 0.010 0.530
F11 F 0.993 0.158 0.331
O5 O 0.928 0.506 0.519
V6 V 0.171 0.277 0.499
O6 O 0.408 0.494 0.481
F12 F 0.307 0.326 0.203

[3]
# Ga2HgI SCAN PBEsol geometry
# * energy relative to the elements, uncorrected: 250.0 meV/atom
data_Ga2HgI
_chemical_formula_sum 'Ga2 Hg1 I1'
_cell_length_a 5.236
_cell_length_b 5.236
_cell_length_c 5.236
_cell_angle_alpha 60.00
_cell_angle_beta 60.00
_cell_angle_gamma 60.00
_symmetry_space_group_name_H-M 'P 1'
_symmetry_Int_Tables_number 1
loop_
_symmetry_equiv_pos_as_xyz
'x,y,z'
loop_
_atom_site_label
_atom_site_type_symbol
_atom_site_fract_x
_atom_site_fract_y
_atom_site_fract_z
I1 I 0.000 0.000 0.000
Ga1 Ga 0.250 0.250 0.250
Hg1 Hg 0.500 0.500 0.500
Ga2 Ga 0.750 0.750 0.750

[4]
Entry from the Alexandria database: NdB2Ir2 at its PBEsol-relaxed geometry (SCAN).

```
data_NdB2Ir2
_chemical_formula_sum 'Nd2 B4 Ir4'
_cell_length_a 5.538
_cell_length_b 5.538
_cell_length_c 6.095
_cell_angle_alpha 105.42
_cell_angle_beta 105.42
_cell_angle_gamma 114.50
_symmetry_space_group_name_H-M 'P 1'
_symmetry_Int_Tables_number 1
loop_
_symmetry_equiv_pos_as_xyz
'x,y,z'
loop_
_atom_site_label
_atom_site_type_symbol
_atom_site_fract_x
_atom_site_fract_y
_atom_site_fract_z
B1 B 0.680 0.320 0.000
Ir1 Ir 0.629 0.629 0.258
B2 B 0.320 0.680 0.000
Nd1 Nd 0.000 0.000 0.000
Nd2 Nd 0.250 0.750 0.500
B3 B 0.570 0.430 0.500
Ir2 Ir 0.621 0.121 0.242
B4 B 0.930 0.070 0.500
Ir3 Ir 0.879 0.379 0.758
Ir4 Ir 0.371 0.371 0.742
```

[5]
Entry from the Alexandria database: KBeP2 at its PBEsol-relaxed geometry (SCAN).

```
data_KBeP2
_chemical_formula_sum 'K1 Be1 P2'
_cell_length_a 3.637
_cell_length_b 5.207
_cell_length_c 5.207
_cell_angle_alpha 75.77
_cell_angle_beta 69.56
_cell_angle_gamma 69.56
_symmetry_space_group_name_H-M 'P 1'
_symmetry_Int_Tables_number 1
loop_
_symmetry_equiv_pos_as_xyz
'x,y,z'
loop_
_atom_site_label
_atom_site_type_symbol
_atom_site_fract_x
_atom_site_fract_y
_atom_site_fract_z
K1 K 0.500 0.000 0.000
P1 P 0.652 0.348 0.348
P2 P 0.348 0.652 0.652
Be1 Be 0.000 0.500 0.500
```

[6]
Entry from the Alexandria database: CaScFe2 at its PBEsol-relaxed geometry (SCAN).

```
data_CaScFe2
_chemical_formula_sum 'Ca1 Sc1 Fe2'
_cell_length_a 3.178
_cell_length_b 3.178
_cell_length_c 7.615
_cell_angle_alpha 90.00
_cell_angle_beta 90.00
_cell_angle_gamma 90.00
_symmetry_space_group_name_H-M 'P 1'
_symmetry_Int_Tables_number 1
loop_
_symmetry_equiv_pos_as_xyz
'x,y,z'
loop_
_atom_site_label
_atom_site_type_symbol
_atom_site_fract_x
_atom_site_fract_y
_atom_site_fract_z
Ca1 Ca 0.500 0.500 0.805
Sc1 Sc 0.000 0.000 0.415
Fe1 Fe 0.000 0.000 0.077
Fe2 Fe 0.500 0.500 0.203
```

[7]
Entry from the Alexandria database: CaRe at its PBEsol-relaxed geometry (SCAN).

```
data_CaRe
_chemical_formula_sum 'Ca3 Re3'
_cell_length_a 3.170
_cell_length_b 5.133
_cell_length_c 9.125
_cell_angle_alpha 76.65
_cell_angle_beta 80.00
_cell_angle_gamma 72.01
_symmetry_space_group_name_H-M 'P 1'
_symmetry_Int_Tables_number 1
loop_
_symmetry_equiv_pos_as_xyz
'x,y,z'
loop_
_atom_site_label
_atom_site_type_symbol
_atom_site_fract_x
_atom_site_fract_y
_atom_site_fract_z
Ca1 Ca 0.321 0.587 0.770
Ca2 Ca 0.679 0.413 0.230
Re1 Re 0.340 0.910 0.409
Re2 Re 0.000 0.500 0.500
Ca3 Ca 0.000 0.000 0.000
Re3 Re 0.660 0.090 0.591
```

[8]
Entry from the Alexandria database: TlRe2AsIr at its PBEsol-relaxed geometry (SCAN).

```
data_TlRe2AsIr
_chemical_formula_sum 'Tl1 Re2 As1 Ir1'
_cell_length_a 4.463
_cell_length_b 4.463
_cell_length_c 4.972
_cell_angle_alpha 90.00
_cell_angle_beta 90.00
_cell_angle_gamma 90.00
_symmetry_space_group_name_H-M 'P 1'
_symmetry_Int_Tables_number 1
loop_
_symmetry_equiv_pos_as_xyz
'x,y,z'
loop_
_atom_site_label
_atom_site_type_symbol
_atom_site_fract_x
_atom_site_fract_y
_atom_site_fract_z
Ir1 Ir 0.500 0.500 0.500
As1 As 0.000 0.000 0.000
Tl1 Tl 0.000 0.000 0.500
Re1 Re 0.000 0.500 0.000
Re2 Re 0.500 0.000 0.000
```

[9]
# Ca10Si3S3Cl2O24 SCAN PBEsol geometry
# * energy relative to the elements, uncorrected: -2917.0 meV/atom
data_Ca10Si3S3Cl2O24
_chemical_formula_sum 'Ca10 Si3 S3 Cl2 O24'
_cell_length_a 6.732
_cell_length_b 9.629
_cell_length_c 9.703
_cell_angle_alpha 119.27
_cell_angle_beta 90.00
_cell_angle_gamma 90.00
_symmetry_space_group_name_H-M 'P 1'
_symmetry_Int_Tables_number 1
loop_
_symmetry_equiv_pos_as_xyz
'x,y,z'
loop_
_atom_site_label
_atom_site_type_symbol
_atom_site_fract_x
_atom_site_fract_y
_atom_site_fract_z
O1 O 0.804 0.733 0.639
O2 O 0.500 0.461 0.581
O3 O 0.693 0.639 0.900
O4 O 0.178 0.360 0.087
Ca1 Ca 0.500 0.741 0.757
Ca2 Ca 0.500 0.978 0.274
Si1 Si 0.000 0.615 0.585
O5 O 0.500 0.484 0.341
Ca3 Ca 0.259 0.674 0.353
O6 O 0.322 0.269 0.349
O7 O 0.678 0.269 0.349
Ca4 Ca 0.000 0.972 0.742
S1 S 0.500 0.371 0.404
O8 O 0.500 0.676 0.166
O9 O 0.307 0.639 0.900
Ca5 Ca 0.254 0.343 0.687
O10 O 0.000 0.142 0.481
O11 O 0.500 0.398 0.878
O12 O 0.000 0.365 0.870
O13 O 0.000 0.880 0.467
Ca6 Ca 0.746 0.343 0.687
Si2 Si 0.500 0.594 0.974
O14 O 0.822 0.360 0.087
S2 S 0.000 0.419 0.041
Ca7 Ca 0.000 0.731 0.969
O15 O 0.698 0.093 0.737
O16 O 0.000 0.597 0.131
O17 O 0.500 0.855 0.483
Cl1 Cl 0.753 0.005 0.012
Ca8 Ca 0.000 0.265 0.255
O18 O 0.302 0.093 0.737
O19 O 0.000 0.527 0.389
Ca9 Ca 0.741 0.674 0.353
O20 O 0.824 0.914 0.271
Si3 Si 0.500 0.040 0.622
O21 O 0.196 0.733 0.639
O22 O 0.500 0.151 0.535
Ca10 Ca 0.500 0.224 0.963
O23 O 0.000 0.485 0.647
S3 S 0.000 0.968 0.376
O24 O 0.176 0.914 0.271
Cl2 Cl 0.247 0.005 0.012

[10]
Entry from the Alexandria database: Al2ZnHg at its PBEsol-relaxed geometry (SCAN).

```
data_Al2ZnHg
_chemical_formula_sum 'Al2 Zn1 Hg1'
_cell_length_a 3.126
_cell_length_b 4.565
_cell_length_c 5.742
_cell_angle_alpha 112.91
_cell_angle_beta 105.08
_cell_angle_gamma 91.75
_symmetry_space_group_name_H-M 'P 1'
_symmetry_Int_Tables_number 1
loop_
_symmetry_equiv_pos_as_xyz
'x,y,z'
loop_
_atom_site_label
_atom_site_type_symbol
_atom_site_fract_x
_atom_site_fract_y
_atom_site_fract_z
Hg1 Hg 0.000 0.000 0.000
Al1 Al 0.500 0.500 0.500
Zn1 Zn 0.500 0.500 0.000
Al2 Al 0.000 0.000 0.500
```

[11]
Entry from the Alexandria database: MgAg4 at its PBEsol-relaxed geometry (SCAN).

```
data_MgAg4
_chemical_formula_sum 'Mg1 Ag4'
_cell_length_a 2.968
_cell_length_b 3.955
_cell_length_c 7.633
_cell_angle_alpha 105.02
_cell_angle_beta 101.21
_cell_angle_gamma 90.00
_symmetry_space_group_name_H-M 'P 1'
_symmetry_Int_Tables_number 1
loop_
_symmetry_equiv_pos_as_xyz
'x,y,z'
loop_
_atom_site_label
_atom_site_type_symbol
_atom_site_fract_x
_atom_site_fract_y
_atom_site_fract_z
Mg1 Mg 0.500 0.500 0.000
Ag1 Ag 0.900 0.900 0.800
Ag2 Ag 0.300 0.300 0.599
Ag3 Ag 0.100 0.100 0.200
Ag4 Ag 0.700 0.700 0.401
```

[12]
# SiIrI2N SCAN PBEsol geometry
# * energy relative to the elements, uncorrected: 1285.5 meV/atom
data_SiIrI2N
_chemical_formula_sum 'Si1 Ir1 I2 N1'
_cell_length_a 3.683
_cell_length_b 5.475
_cell_length_c 5.475
_cell_angle_alpha 90.00
_cell_angle_beta 90.00
_cell_angle_gamma 90.00
_symmetry_space_group_name_H-M 'P 1'
_symmetry_Int_Tables_number 1
loop_
_symmetry_equiv_pos_as_xyz
'x,y,z'
loop_
_atom_site_label
_atom_site_type_symbol
_atom_site_fract_x
_atom_site_fract_y
_atom_site_fract_z
Si1 Si 0.500 0.500 0.500
I1 I 0.000 0.000 0.500
N1 N 0.000 0.000 0.000
Ir1 Ir 0.500 0.000 0.000
I2 I 0.000 0.500 0.000

Looking at E_tot for the records above, in order, we have -21.835, -10.648, -34.150, -41.011, -8.456, -14.879, -39.926, -59.022, -10.562, -24.168, -26.193, -31.492 eV/atom.